#a
## HfV2F (PBE with a Hubbard U)

Data for a relaxed structure of HfV2F.

a b c (Å): 5.693 5.693 5.693
angles (deg): 108.97 108.97 110.48
Positions (direct):
Hf  0.000  0.000  0.000
Hf  0.750  0.250  0.500
V  0.228  0.625  0.103
V  0.375  0.478  0.603
V  0.522  0.125  0.897
V  0.875  0.772  0.397
F  0.250  0.750  0.500
F  0.500  0.500  0.000

Output
The value obtained for the calculated density is 7.00 g/cm³. The total magnetization comes out at 10.156 μB per cell. For the volume, the calculation gives 17.754 Å³/atom.

---

#b
## HfV2F (PBE with a Hubbard U)

Data for a relaxed structure of HfV2F.

a b c (Å): 4.753 4.753 4.753
angles (deg): 60.00 60.00 60.00
Positions (direct):
Hf  0.000  0.000  0.000
V  0.250  0.250  0.250
V  0.750  0.750  0.750
F  0.500  0.500  0.500

Output
The value obtained for the calculated density is 6.55 g/cm³. The total magnetization comes out at 8.213 μB per cell. For the volume, the calculation gives 18.983 Å³/atom.

---

It turns out #a is the most stable, with the second structure 627 meV per atom higher.

---

#a
## Hf3VF (PBE with a Hubbard U)

Data for a relaxed structure of Hf3VF.

a b c (Å): 4.505 4.505 4.505
angles (deg): 90.00 90.00 90.00
Positions (direct):
Hf  0.000  0.000  0.500
Hf  0.000  0.500  0.000
Hf  0.500  0.000  0.000
V  0.500  0.500  0.500
F  0.000  0.000  0.000

Output
The value obtained for the calculated density is 10.99 g/cm³. The total magnetization comes out at 1.466 μB per cell. For the volume, the calculation gives 18.291 Å³/atom.

---

#b
## Hf3VF (PBE with a Hubbard U)

Data for a relaxed structure of Hf3VF.

a b c (Å): 4.972 4.972 4.972
angles (deg): 90.00 90.00 90.00
Positions (direct):
Hf  0.000  0.000  0.500
Hf  0.000  0.500  0.000
Hf  0.500  0.000  0.000
V  0.000  0.000  0.000
F  0.500  0.500  0.500

Output
The value obtained for the calculated density is 8.18 g/cm³. The total magnetization comes out at 2.236 μB per cell. For the volume, the calculation gives 24.579 Å³/atom.

---

It turns out #a is the most stable, with the second structure 1086 meV per atom higher.

---

#a
## HfVF2 (PBE with a Hubbard U)

Data for a relaxed structure of HfVF2.

a b c (Å): 7.970 7.970 7.970
angles (deg): 21.56 21.56 21.56
Positions (direct):
Hf  0.000  0.000  0.000
V  0.500  0.500  0.500
F  0.402  0.402  0.402
F  0.598  0.598  0.598

Output
The value obtained for the calculated density is 7.41 g/cm³. The total magnetization comes out at 3.540 μB per cell. For the volume, the calculation gives 14.981 Å³/atom.

---

#b
## HfVF2 (PBE with a Hubbard U)

Data for a relaxed structure of HfVF2.

a b c (Å): 7.940 7.940 7.940
angles (deg): 150.16 150.16 42.71
Positions (direct):
Hf  0.000  0.000  0.000
Hf  0.750  0.250  0.500
V  0.250  0.750  0.500
V  0.500  0.500  0.000
F  0.052  0.625  0.927
F  0.375  0.302  0.427
F  0.698  0.125  0.073
F  0.875  0.948  0.573

Output
The value obtained for the calculated density is 7.18 g/cm³. The total magnetization comes out at 5.460 μB per cell. For the volume, the calculation gives 15.454 Å³/atom.

---

#c
## HfVF2 (PBE with a Hubbard U)

Data for a relaxed structure of HfVF2.

a b c (Å): 4.371 4.371 4.371
angles (deg): 60.00 60.00 60.00
Positions (direct):
Hf  0.000  0.000  0.000
V  0.500  0.500  0.500
F  0.250  0.250  0.250
F  0.750  0.750  0.750

Output
The value obtained for the calculated density is 7.52 g/cm³. The total magnetization comes out at 5.425 μB per cell. For the volume, the calculation gives 14.762 Å³/atom.

---

It turns out #a is the most stable, with the second structure 202 meV per atom higher.

---

#a
## Hf2V2F (PBE with a Hubbard U)

Data for a relaxed structure of Hf2V2F.

a b c (Å): 6.154 6.154 5.027
angles (deg): 90.00 90.00 90.00
Positions (direct):
Hf  0.164  0.336  0.000
Hf  0.336  0.836  0.000
Hf  0.664  0.164  0.000
Hf  0.836  0.664  0.000
V  0.154  0.654  0.500
V  0.346  0.154  0.500
V  0.654  0.846  0.500
V  0.846  0.346  0.500
F  0.000  0.000  0.000
F  0.500  0.500  0.000

Output
The value obtained for the calculated density is 8.34 g/cm³. The total magnetization comes out at 13.685 μB per cell. For the volume, the calculation gives 19.036 Å³/atom.

---

#b
## Hf2V2F (PBE with a Hubbard U)

Data for a relaxed structure of Hf2V2F.

a b c (Å): 8.083 8.083 8.083
angles (deg): 155.47 155.47 34.97
Positions (direct):
Hf  0.107  0.107  0.000
Hf  0.893  0.893  0.000
V  0.250  0.750  0.500
V  0.750  0.250  0.500
F  0.500  0.500  0.000

Output
The value obtained for the calculated density is 8.73 g/cm³. The total magnetization comes out at 0.001 μB per cell. For the volume, the calculation gives 18.188 Å³/atom.

---

It turns out #a is the most stable, with the second structure 548 meV per atom higher.